This record from Alexandria via LeMat-Bulk describes crystalline YTaAl4 at its relaxed geometry. The functional is GGA-PBEsol.

Final energy = -6.2658 eV per atom
Formation enthalpy at 0 K = -0.309 eV per atom
Magnetization = 0.00 Bohr magnetons per cell

a = 5.2873 Å, b = 5.2873 Å, c = 5.2873 Å
α = 60.00°, β = 60.00°, γ = 60.00°
Fractional coordinates of all 6 atoms:
Y 0.0000 0.0000 0.0000
Ta 0.7500 0.7500 0.7500
Al 0.3756 0.3756 0.3756
Al 0.3756 0.3756 0.8731
Al 0.3756 0.8731 0.3756
Al 0.8731 0.3756 0.3756

---

This record from Alexandria via LeMat-Bulk describes crystalline YTa2Al at its relaxed geometry. The functional is GGA-PBEsol.

Final energy = -8.8888 eV per atom
Formation enthalpy at 0 K = 0.115 eV per atom
Magnetization = 0.00 Bohr magnetons per cell

a = 5.3130 Å, b = 5.3130 Å, c = 5.2366 Å
α = 101.66°, β = 101.66°, γ = 32.42°
Fractional coordinates of all 4 atoms:
Y 0.0000 0.0000 0.0000
Ta 0.2332 0.2332 0.7236
Ta 0.7668 0.7668 0.2764
Al 0.5000 0.5000 0.5000

---

This record from Alexandria via LeMat-Bulk describes crystalline YTaAl2 at its relaxed geometry. The functional is GGA-PBEsol.

E above lowest polymorph = 0.0 meV per atom
Final energy = -7.0580 eV per atom
Formation enthalpy at 0 K = -0.169 eV per atom
Magnetization = 0.00 Bohr magnetons per cell

a = 3.4734 Å, b = 3.4734 Å, c = 6.3902 Å
α = 90.00°, β = 90.00°, γ = 90.00°
Fractional coordinates of all 4 atoms:
Y 0.0000 0.0000 0.0000
Ta 0.0000 0.0000 0.5000
Al 0.5000 0.5000 0.2970
Al 0.5000 0.5000 0.7030

---

This record from Alexandria via LeMat-Bulk describes crystalline YTa2Al at its relaxed geometry. The functional is GGA-PBEsol.

Final energy = -8.8592 eV per atom
Formation enthalpy at 0 K = 0.145 eV per atom
Magnetization = 0.00 Bohr magnetons per cell

a = 5.4816 Å, b = 5.4816 Å, c = 5.4816 Å
α = 138.42°, β = 133.63°, γ = 64.02°
Fractional coordinates of all 4 atoms:
Y 0.0000 0.0000 0.0000
Ta 0.2579 0.7579 0.5000
Ta 0.7421 0.2421 0.5000
Al 0.5000 0.5000 0.0000

---

This record from Alexandria via LeMat-Bulk describes crystalline YTa2Al at its relaxed geometry. The functional is GGA-PBEsol.

Final energy = -8.8247 eV per atom
Formation enthalpy at 0 K = 0.179 eV per atom
Magnetization = 0.00 Bohr magnetons per cell

a = 5.0214 Å, b = 5.0214 Å, c = 5.6087 Å
α = 96.86°, β = 96.86°, γ = 34.46°
Fractional coordinates of all 4 atoms:
Y 0.0000 0.0000 0.0000
Ta 0.5168 0.5168 0.5089
Ta 0.7729 0.7729 0.3047
Al 0.2503 0.2503 0.7321

---

This record from Alexandria via LeMat-Bulk describes crystalline YTaAl3 at its relaxed geometry. The functional is GGA-PBEsol.

Final energy = -4.4649 eV per atom
Formation enthalpy at 0 K = 1.865 eV per atom
Magnetization = 0.74 Bohr magnetons per cell

a = 4.9750 Å, b = 4.9750 Å, c = 4.9750 Å
α = 90.00°, β = 90.00°, γ = 90.00°
Fractional coordinates of all 5 atoms:
Y 0.0000 0.0000 0.0000
Ta 0.5000 0.5000 0.5000
Al 0.0000 0.0000 0.5000
Al 0.0000 0.5000 0.0000
Al 0.5000 0.0000 0.0000

---

This record from Alexandria via LeMat-Bulk describes crystalline YTa2Al at its relaxed geometry. The functional is GGA-PBEsol.

Final energy = -8.0323 eV per atom
Formation enthalpy at 0 K = 0.972 eV per atom
Magnetization = 0.00 Bohr magnetons per cell

a = 10.1974 Å, b = 10.1974 Å, c = 10.1974 Å
α = 153.27°, β = 153.27°, γ = 38.16°
Fractional coordinates of all 8 atoms:
Y 0.3750 0.6250 0.7500
Y 0.6250 0.3750 0.2500
Ta 0.0000 0.0000 0.0000
Ta 0.0000 0.0000 0.5000
Ta 0.0000 0.5000 0.0000
Ta 0.5000 0.0000 0.5000
Al 0.1250 0.8750 0.2500
Al 0.8750 0.1250 0.7500

---

This record from Alexandria via LeMat-Bulk describes crystalline YTaAl2 at its relaxed geometry. The functional is GGA-PBEsol.

E above lowest polymorph = 49.5 meV per atom
Final energy = -7.0085 eV per atom
Formation enthalpy at 0 K = -0.119 eV per atom
Magnetization = 0.00 Bohr magnetons per cell

a = 5.1461 Å, b = 5.1461 Å, c = 2.9685 Å
α = 90.00°, β = 90.00°, γ = 107.74°
Fractional coordinates of all 4 atoms:
Y 0.0000 0.0000 0.0000
Ta 0.5000 0.5000 0.0000
Al 0.0000 0.5000 0.5000
Al 0.5000 0.0000 0.5000

---

This record from Alexandria via LeMat-Bulk describes crystalline Ta2AlZn at its relaxed geometry. The functional is GGA-PBEsol.

Final energy = -7.6368 eV per atom
Formation enthalpy at 0 K = 0.057 eV per atom
Magnetization = 0.00 Bohr magnetons per cell

a = 2.8659 Å, b = 2.8659 Å, c = 9.4347 Å
α = 98.99°, β = 98.99°, γ = 60.29°
Fractional coordinates of all 4 atoms:
Ta 0.2490 0.2490 0.2482
Ta 0.7510 0.7510 0.7518
Al 0.0000 0.0000 0.5000
Zn 0.5000 0.5000 0.0000

---

This record from Alexandria via LeMat-Bulk describes crystalline ZrTaAl4 at its relaxed geometry. The functional is GGA-PBEsol.

Final energy = -6.6793 eV per atom
Formation enthalpy at 0 K = -0.345 eV per atom
Magnetization = 0.00 Bohr magnetons per cell

a = 5.1739 Å, b = 5.1739 Å, c = 5.1739 Å
α = 60.00°, β = 60.00°, γ = 60.00°
Fractional coordinates of all 6 atoms:
Zr 0.0000 0.0000 0.0000
Ta 0.7500 0.7500 0.7500
Al 0.3751 0.3751 0.3751
Al 0.3751 0.3751 0.8747
Al 0.3751 0.8747 0.3751
Al 0.8747 0.3751 0.3751

---

This record from Alexandria via LeMat-Bulk describes crystalline Zr2TaAl2 at its relaxed geometry. The functional is GGA-PBEsol.

Final energy = -8.0595 eV per atom
Formation enthalpy at 0 K = -0.277 eV per atom
Magnetization = 0.00 Bohr magnetons per cell

a = 7.1639 Å, b = 7.1639 Å, c = 3.6712 Å
α = 90.00°, β = 90.00°, γ = 90.00°
Fractional coordinates of all 10 atoms:
Zr 0.1764 0.3236 0.0000
Zr 0.3236 0.8236 0.0000
Zr 0.6764 0.1764 0.0000
Zr 0.8236 0.6764 0.0000
Ta 0.0000 0.0000 0.5000
Ta 0.5000 0.5000 0.5000
Al 0.1256 0.6256 0.5000
Al 0.3744 0.1256 0.5000
Al 0.6256 0.8744 0.5000
Al 0.8744 0.3744 0.5000

---

This record from Alexandria via LeMat-Bulk describes crystalline ZrTaAl3 at its relaxed geometry. The functional is GGA-PBEsol.

Final energy = -5.9872 eV per atom
Formation enthalpy at 0 K = 0.796 eV per atom
Magnetization = 0.00 Bohr magnetons per cell

a = 4.7967 Å, b = 4.7967 Å, c = 4.7967 Å
α = 90.00°, β = 90.00°, γ = 90.00°
Fractional coordinates of all 5 atoms:
Zr 0.0000 0.0000 0.0000
Ta 0.5000 0.5000 0.5000
Al 0.0000 0.5000 0.5000
Al 0.5000 0.0000 0.5000
Al 0.5000 0.5000 0.0000